Entry 1:
A plane-wave DFT calculation with meta-GGA SCAN was carried out for a crystal of Ba5P3O13 relaxed with PBEsol.

Lattice parameters (Å, degrees): 10.074 10.074 7.599 90.00 90.00 120.00
Fractional positions:
Ba 0.016 0.238 0.250
Ba 0.223 0.984 0.250
Ba 0.238 0.223 0.750
Ba 0.333 0.667 0.502
Ba 0.333 0.667 0.998
Ba 0.667 0.333 0.002
Ba 0.667 0.333 0.498
Ba 0.762 0.777 0.250
Ba 0.777 0.016 0.750
Ba 0.984 0.762 0.750
P 0.029 0.402 0.750
P 0.373 0.971 0.750
P 0.402 0.373 0.250
P 0.598 0.627 0.750
P 0.627 0.029 0.250
P 0.971 0.598 0.250
O 0.000 0.000 0.000
O 0.000 0.000 0.500
O 0.082 0.350 0.585
O 0.082 0.350 0.915
O 0.108 0.580 0.750
O 0.148 0.671 0.250
O 0.268 0.918 0.585
O 0.268 0.918 0.915
O 0.329 0.476 0.250
O 0.350 0.268 0.085
O 0.350 0.268 0.415
O 0.420 0.528 0.750
O 0.472 0.892 0.750
O 0.476 0.148 0.750
O 0.524 0.852 0.250
O 0.528 0.108 0.250
O 0.580 0.472 0.250
O 0.650 0.732 0.585
O 0.650 0.732 0.915
O 0.671 0.524 0.750
O 0.732 0.082 0.085
O 0.732 0.082 0.415
O 0.852 0.329 0.750
O 0.892 0.420 0.250
O 0.918 0.650 0.085
O 0.918 0.650 0.415

Values from the calculation:
Space group: P6_3/m (176)
Magnetic moment, μB/f.u.: 1.00
Electronic total energy, eV per atom: -17.80
Raw formation energy, eV/atom: -3.043

Entry 2:
A plane-wave DFT calculation with meta-GGA SCAN was carried out for a crystal of BaP2PdO relaxed with PBEsol.

Lattice parameters (Å, degrees): 5.554 5.554 4.216 90.00 90.00 90.00
Fractional positions:
Ba 0.000 0.000 0.000
P 0.000 0.500 0.000
P 0.500 0.000 0.000
Pd 0.500 0.500 0.500
O 0.000 0.000 0.500

Values from the calculation:
Space group: P4/mmm (123)
Magnetic moment, μB/f.u.: 1.53
Electronic total energy, eV per atom: -18.63
Raw formation energy, eV/atom: 1.238

Entry 3:
A plane-wave DFT calculation with meta-GGA SCAN was carried out for a crystal of RbBaPO4 relaxed with PBEsol.

Lattice parameters (Å, degrees): 7.799 5.717 10.049 90.00 90.00 90.00
Fractional positions:
Rb 0.157 0.250 0.087
Rb 0.343 0.750 0.587
Rb 0.657 0.250 0.413
Rb 0.843 0.750 0.913
Ba 0.005 0.750 0.307
Ba 0.495 0.250 0.807
Ba 0.505 0.750 0.193
Ba 0.995 0.250 0.693
P 0.232 0.250 0.416
P 0.268 0.750 0.916
P 0.732 0.250 0.084
P 0.768 0.750 0.584
O 0.032 0.250 0.417
O 0.199 0.750 0.062
O 0.204 0.527 0.843
O 0.204 0.973 0.843
O 0.296 0.027 0.343
O 0.296 0.473 0.343
O 0.301 0.250 0.562
O 0.468 0.750 0.917
O 0.532 0.250 0.083
O 0.699 0.750 0.438
O 0.704 0.527 0.657
O 0.704 0.973 0.657
O 0.796 0.027 0.157
O 0.796 0.473 0.157
O 0.801 0.250 0.938
O 0.968 0.750 0.583

Values from the calculation:
Space group: Pnma (62)
Magnetic moment, μB/f.u.: 0.00
Electronic total energy, eV per atom: -16.58
Raw formation energy, eV/atom: -2.923

Entry 4:
A plane-wave DFT calculation with meta-GGA SCAN was carried out for a crystal of Ba10P6SO24 relaxed with PBEsol.

Lattice parameters (Å, degrees): 10.232 10.232 7.654 90.00 90.00 120.00
Fractional positions:
Ba 0.016 0.259 0.240
Ba 0.243 0.984 0.240
Ba 0.259 0.243 0.760
Ba 0.333 0.667 0.480
Ba 0.333 0.667 0.980
Ba 0.667 0.333 0.020
Ba 0.667 0.333 0.520
Ba 0.741 0.757 0.240
Ba 0.757 0.016 0.760
Ba 0.984 0.741 0.760
P 0.031 0.399 0.748
P 0.368 0.969 0.748
P 0.399 0.368 0.252
P 0.601 0.632 0.748
P 0.632 0.031 0.252
P 0.969 0.601 0.252
S 0.000 0.000 0.000
O 0.063 0.317 0.598
O 0.097 0.376 0.920
O 0.113 0.572 0.714
O 0.142 0.664 0.236
O 0.253 0.937 0.598
O 0.279 0.903 0.920
O 0.317 0.253 0.402
O 0.336 0.478 0.236
O 0.376 0.279 0.080
O 0.428 0.540 0.714
O 0.460 0.887 0.714
O 0.478 0.142 0.764
O 0.522 0.858 0.236
O 0.540 0.113 0.286
O 0.572 0.460 0.286
O 0.624 0.721 0.920
O 0.664 0.522 0.764
O 0.683 0.747 0.598
O 0.721 0.097 0.080
O 0.747 0.063 0.402
O 0.858 0.336 0.764
O 0.887 0.428 0.286
O 0.903 0.624 0.080
O 0.937 0.683 0.402

Values from the calculation:
Space group: P-3 (147)
Magnetic moment, μB/f.u.: 0.13
Electronic total energy, eV per atom: -18.18
Raw formation energy, eV/atom: -3.130

Entry 5:
A plane-wave DFT calculation with meta-GGA SCAN was carried out for a crystal of Ba2Sb4P2O17 relaxed with PBEsol.

Lattice parameters (Å, degrees): 21.093 7.240 9.568 90.00 90.00 90.00
Fractional positions:
Ba 0.029 0.250 0.153
Ba 0.174 0.750 0.688
Ba 0.326 0.250 0.188
Ba 0.471 0.750 0.653
Ba 0.529 0.250 0.347
Ba 0.674 0.750 0.812
Ba 0.826 0.250 0.312
Ba 0.971 0.750 0.847
Sb 0.000 0.000 0.500
Sb 0.000 0.500 0.500
Sb 0.159 0.501 0.328
Sb 0.159 0.999 0.328
Sb 0.222 0.250 0.634
Sb 0.278 0.750 0.134
Sb 0.341 0.001 0.828
Sb 0.341 0.499 0.828
Sb 0.500 0.000 0.000
Sb 0.500 0.500 0.000
Sb 0.659 0.501 0.172
Sb 0.659 0.999 0.172
Sb 0.722 0.250 0.866
Sb 0.778 0.750 0.366
Sb 0.841 0.001 0.672
Sb 0.841 0.499 0.672
P 0.073 0.250 0.748
P 0.131 0.750 0.047
P 0.369 0.250 0.547
P 0.427 0.750 0.248
P 0.573 0.250 0.752
P 0.631 0.750 0.453
P 0.869 0.250 0.953
P 0.927 0.750 0.252
O 0.031 0.750 0.548
O 0.042 0.250 0.889
O 0.055 0.071 0.665
O 0.055 0.429 0.665
O 0.068 0.048 0.367
O 0.068 0.452 0.367
O 0.092 0.750 0.914
O 0.119 0.573 0.136
O 0.119 0.927 0.136
O 0.147 0.250 0.765
O 0.153 0.750 0.403
O 0.166 0.250 0.248
O 0.185 0.052 0.521
O 0.185 0.448 0.521
O 0.202 0.750 0.000
O 0.244 0.545 0.249
O 0.244 0.955 0.249
O 0.256 0.045 0.749
O 0.256 0.455 0.749
O 0.298 0.250 0.500
O 0.315 0.552 0.021
O 0.315 0.948 0.021
O 0.334 0.750 0.748
O 0.347 0.250 0.903
O 0.353 0.750 0.265
O 0.381 0.073 0.636
O 0.381 0.427 0.636
O 0.408 0.250 0.414
O 0.432 0.548 0.867
O 0.432 0.952 0.867
O 0.445 0.571 0.165
O 0.445 0.929 0.165
O 0.458 0.750 0.389
O 0.469 0.250 0.048
O 0.531 0.750 0.952
O 0.542 0.250 0.611
O 0.555 0.071 0.835
O 0.555 0.429 0.835
O 0.568 0.048 0.133
O 0.568 0.452 0.133
O 0.592 0.750 0.586
O 0.619 0.573 0.364
O 0.619 0.927 0.364
O 0.647 0.250 0.735
O 0.653 0.750 0.097
O 0.666 0.250 0.252
O 0.685 0.052 0.979
O 0.685 0.448 0.979
O 0.702 0.750 0.500
O 0.744 0.545 0.251
O 0.744 0.955 0.251
O 0.756 0.045 0.751
O 0.756 0.455 0.751
O 0.798 0.250 0.000
O 0.815 0.552 0.479
O 0.815 0.948 0.479
O 0.834 0.750 0.752
O 0.847 0.250 0.597
O 0.853 0.750 0.235
O 0.881 0.073 0.864
O 0.881 0.427 0.864
O 0.908 0.250 0.086
O 0.932 0.548 0.633
O 0.932 0.952 0.633
O 0.945 0.571 0.335
O 0.945 0.929 0.335
O 0.958 0.750 0.111
O 0.969 0.250 0.452

Values from the calculation:
Space group: Pnma (62)
Magnetic moment, μB/f.u.: 0.00
Electronic total energy, eV per atom: -16.38
Raw formation energy, eV/atom: -2.184

Entry 6:
A plane-wave DFT calculation with meta-GGA SCAN was carried out for a crystal of Ba3P2Se4O4 relaxed with PBEsol.

Lattice parameters (Å, degrees): 6.781 7.104 12.638 81.86 78.59 80.67
Fractional positions:
Ba 0.040 0.187 0.350
Ba 0.293 0.734 0.110
Ba 0.354 0.316 0.625
Ba 0.646 0.684 0.375
Ba 0.707 0.266 0.890
Ba 0.960 0.813 0.650
P 0.139 0.698 0.385
P 0.396 0.801 0.808
P 0.604 0.199 0.192
P 0.861 0.302 0.615
Se 0.206 0.058 0.872
Se 0.243 0.543 0.859
Se 0.336 0.243 0.110
Se 0.465 0.839 0.629
Se 0.535 0.161 0.371
Se 0.664 0.757 0.890
Se 0.757 0.457 0.141
Se 0.794 0.942 0.128
O 0.052 0.171 0.562
O 0.071 0.562 0.318
O 0.256 0.595 0.475
O 0.279 0.829 0.304
O 0.721 0.171 0.696
O 0.744 0.405 0.525
O 0.929 0.438 0.682
O 0.948 0.829 0.438

Values from the calculation:
Space group: P-1 (2)
Magnetic moment, μB/f.u.: 0.00
Electronic total energy, eV per atom: -21.05
Raw formation energy, eV/atom: -2.226

Entry 7:
A plane-wave DFT calculation with meta-GGA SCAN was carried out for a crystal of BaSr2P2O8 relaxed with PBEsol.

Lattice parameters (Å, degrees): 7.424 7.424 7.424 42.90 42.90 42.90
Fractional positions:
Ba 0.000 0.000 0.000
Sr 0.208 0.208 0.208
Sr 0.792 0.792 0.792
P 0.410 0.410 0.410
P 0.590 0.590 0.590
O 0.252 0.718 0.718
O 0.282 0.282 0.748
O 0.282 0.748 0.282
O 0.334 0.334 0.334
O 0.666 0.666 0.666
O 0.718 0.252 0.718
O 0.718 0.718 0.252
O 0.748 0.282 0.282

Values from the calculation:
Space group: R-3m (166)
Magnetic moment, μB/f.u.: 0.00
Electronic total energy, eV per atom: -15.10
Raw formation energy, eV/atom: -3.191

Entry 8:
A plane-wave DFT calculation with meta-GGA SCAN was carried out for a crystal of BaTaPO2 relaxed with PBEsol.

Lattice parameters (Å, degrees): 4.125 4.125 6.805 90.00 90.00 90.00
Fractional positions:
Ba 0.000 0.000 0.000
Ta 0.500 0.500 0.500
P 0.000 0.000 0.500
O 0.000 0.500 0.000
O 0.500 0.000 0.000

Values from the calculation:
Space group: P4/mmm (123)
Magnetic moment, μB/f.u.: 1.90
Electronic total energy, eV per atom: -25.18
Raw formation energy, eV/atom: 0.623